Below is a PBEsol-optimized structure of BaTaCr2, with properties calculated at the SCAN level.

Cell lengths 4.773, 4.773, 4.773 Å; angles 60.00, 60.00, 60.00 degrees
Last column: magnetic moment on the atom in μB.
Atoms (fractional coordinates):
Ba 0.500 0.500 0.500  -0.20
Cr 0.000 0.000 0.000  3.21
Cr 0.250 0.250 0.250  -3.67
Ta 0.750 0.750 0.750  -0.60

## Properties
Energy relative to the elements (meV per atom): 1185
VASP energy (eV for the cell shown): -138.2
SG: F-43m (216)

=====

Below is a PBEsol-optimized structure of BaTaCr2, with properties calculated at the SCAN level.

Cell lengths 3.127, 5.052, 5.052 Å; angles 90.00, 90.00, 90.00 degrees
Last column: magnetic moment on the atom in μB.
Atoms (fractional coordinates):
Ba 0.500 0.000 0.000  0.09
Cr 0.000 0.000 0.500  3.58
Cr 0.000 0.500 0.000  3.58
Ta 0.500 0.500 0.500  -0.85

## Properties
Energy relative to the elements (meV per atom): 1059
VASP energy (eV for the cell shown): -138.7
SG: P4/mmm (123)

=====

Below is a PBEsol-optimized structure of Ba2CrTc, with properties calculated at the SCAN level.

Cell lengths 5.287, 5.287, 5.287 Å; angles 60.00, 60.00, 60.00 degrees
Last column: magnetic moment on the atom in μB.
Atoms (fractional coordinates):
Ba 0.000 0.000 0.000  -0.04
Ba 0.750 0.750 0.750  0.17
Cr 0.500 0.500 0.500  4.09
Tc 0.250 0.250 0.250  -2.28

## Properties
Energy relative to the elements (meV per atom): 929
VASP energy (eV for the cell shown): -128.8
SG: F-43m (216)

=====

Below is a PBEsol-optimized structure of BaCr2Tc, with properties calculated at the SCAN level.

Cell lengths 4.505, 4.505, 4.505 Å; angles 60.00, 60.00, 60.00 degrees
Atoms (fractional coordinates):
Ba 0.500 0.500 0.500
Cr 0.250 0.250 0.250
Cr 0.750 0.750 0.750
Tc 0.000 0.000 0.000

## Properties
Energy relative to the elements (meV per atom): 1543
VASP energy (eV for the cell shown): -105.2
SG: Fm-3m (225)

=====

Below is a PBEsol-optimized structure of BaCr2Tc, with properties calculated at the SCAN level.

Cell lengths 3.163, 3.163, 9.281 Å; angles 80.19, 80.19, 60.00 degrees
Last column: magnetic moment on the atom in μB.
Atoms (fractional coordinates):
Ba 0.000 0.000 0.000  -0.07
Cr 0.227 0.227 0.318  3.31
Cr 0.773 0.773 0.682  3.31
Tc 0.500 0.500 0.500  -1.26

## Properties
Energy relative to the elements (meV per atom): 902
VASP energy (eV for the cell shown): -107.8
SG: R-3m (166)

=====

Below is a PBEsol-optimized structure of BaCr2Tc, with properties calculated at the SCAN level.

Cell lengths 3.244, 3.244, 7.474 Å; angles 90.00, 90.00, 90.00 degrees
Atoms (fractional coordinates):
Ba 0.500 0.500 0.500
Cr 0.000 0.000 0.864
Cr 0.000 0.000 0.136
Tc 0.500 0.500 0.000

## Properties
Energy relative to the elements (meV per atom): 749
VASP energy (eV for the cell shown): -108.4
SG: P4/mmm (123)

=====

Below is a PBEsol-optimized structure of BaCr2Tc, with properties calculated at the SCAN level.

Cell lengths 3.249, 4.988, 4.538 Å; angles 90.00, 90.00, 90.00 degrees
Last column: magnetic moment on the atom in μB.
Atoms (fractional coordinates):
Ba 0.000 0.500 0.500  0.06
Cr 0.000 0.000 0.000  -3.55
Cr 0.500 0.000 0.500  3.74
Tc 0.500 0.500 0.000  0.36

## Properties
Energy relative to the elements (meV per atom): 1095
VASP energy (eV for the cell shown): -107.0
SG: Pmmm (47)

=====

Below is a PBEsol-optimized structure of BaCr2Tc, with properties calculated at the SCAN level.

Cell lengths 3.071, 4.890, 4.890 Å; angles 90.00, 90.00, 90.00 degrees
Last column: magnetic moment on the atom in μB.
Atoms (fractional coordinates):
Ba 0.500 0.000 0.000  0.07
Cr 0.000 0.000 0.500  3.56
Cr 0.000 0.500 0.000  3.56
Tc 0.500 0.500 0.500  -1.86

## Properties
Energy relative to the elements (meV per atom): 1202
VASP energy (eV for the cell shown): -106.6
SG: P4/mmm (123)

=====

Below is a PBEsol-optimized structure of BaCr3Te, with properties calculated at the SCAN level.

Cell lengths 5.074, 5.074, 5.074 Å; angles 90.00, 90.00, 90.00 degrees
Last column: magnetic moment on the atom in μB.
Atoms (fractional coordinates):
Cr 0.000 0.500 0.000  3.93
Cr 0.000 0.000 0.500  3.93
Cr 0.500 0.000 0.000  3.93
Te 0.500 0.500 0.500  -0.02
Ba 0.000 0.000 0.000  0.17

## Properties
VASP energy (eV for the cell shown): -122.2
ΔE_f (raw) (eV/atom): 1.948
SG: Pm-3m (221)

=====

Below is a PBEsol-optimized structure of Ba2CrTe, with properties calculated at the SCAN level.

Cell lengths 4.274, 5.722, 5.722 Å; angles 90.00, 90.00, 90.00 degrees
Last column: magnetic moment on the atom in μB.
Atoms (fractional coordinates):
Ba 0.000 0.000 0.500  0.06
Ba 0.000 0.500 0.000  0.06
Cr 0.500 0.500 0.500  4.29
Te 0.500 0.000 0.000  0.02

## Properties
VASP energy (eV for the cell shown): -137.0
ΔE_f (raw) (eV/atom): -0.578
SG: P4/mmm (123)

=====

Below is a PBEsol-optimized structure of BaTi2CrW, with properties calculated at the SCAN level.

Cell lengths 4.825, 4.825, 4.972 Å; angles 90.00, 90.00, 90.00 degrees
Last column: magnetic moment on the atom in μB.
Atoms (fractional coordinates):
Cr 0.500 0.500 0.500  3.98
Ba 0.000 0.000 0.000  0.04
W 0.000 0.000 0.500  -0.64
Ti 0.000 0.500 0.000  -0.10
Ti 0.500 0.000 0.000  -0.10

## Properties
Energy relative to the elements (meV per atom): 2564
VASP energy (eV for the cell shown): -146.9
SG: P4/mmm (123)

=====

Below is a PBEsol-optimized structure of BaTlCr, with properties calculated at the SCAN level.

Cell lengths 4.170, 5.043, 5.043 Å; angles 120.00, 90.00, 90.00 degrees
Last column: magnetic moment on the atom in μB.
Atoms (fractional coordinates):
Ba 0.500 0.000 0.000  0.01
Cr 0.000 0.333 0.667  4.08
Tl 0.000 0.667 0.333  -0.06

## Properties
Energy relative to the elements (meV per atom): -20
VASP energy (eV for the cell shown): -130.4
SG: P-6m2 (187)

=====

Below is a PBEsol-optimized structure of Ba2TlCr, with properties calculated at the SCAN level.

Cell lengths 4.889, 5.124, 6.550 Å; angles 113.02, 90.00, 90.00 degrees
Last column: magnetic moment on the atom in μB.
Atoms (fractional coordinates):
Ba 0.000 0.103 0.206  0.02
Ba 0.500 0.395 0.790  0.03
Cr 0.000 0.803 0.606  4.11
Tl 0.500 0.691 0.383  -0.05

## Properties
Energy relative to the elements (meV per atom): -93
VASP energy (eV for the cell shown): -170.2
SG: Amm2 (38)

=====

Below is a PBEsol-optimized structure of BaTlCr, with properties calculated at the SCAN level.

Cell lengths 5.093, 5.093, 5.093 Å; angles 60.00, 60.00, 60.00 degrees
Last column: magnetic moment on the atom in μB.
Atoms (fractional coordinates):
Ba 0.500 0.500 0.500  -0.02
Cr 0.250 0.250 0.250  4.04
Tl 0.000 0.000 0.000  -0.16

## Properties
Energy relative to the elements (meV per atom): 210
VASP energy (eV for the cell shown): -129.7
SG: F-43m (216)

=====

Below is a PBEsol-optimized structure of Ba3TlCr, with properties calculated at the SCAN level.

Cell lengths 6.533, 6.533, 6.533 Å; angles 90.00, 90.00, 90.00 degrees
Last column: magnetic moment on the atom in μB.
Atoms (fractional coordinates):
Cr 0.500 0.500 0.500  4.36
Tl 0.000 0.000 0.000  0.01
Ba 0.000 0.500 0.000  0.03
Ba 0.000 0.000 0.500  0.03
Ba 0.500 0.000 0.000  0.03

## Properties
Energy relative to the elements (meV per atom): 283
VASP energy (eV for the cell shown): -208.0
SG: Pm-3m (221)

=====

Below is a PBEsol-optimized structure of BaTl2Cr, with properties calculated at the SCAN level.

Cell lengths 3.664, 3.664, 7.933 Å; angles 90.00, 90.00, 90.00 degrees
Last column: magnetic moment on the atom in μB.
Atoms (fractional coordinates):
Ba 0.500 0.500 0.000  -0.02
Cr 0.500 0.500 0.500  3.98
Tl 0.000 0.000 0.694  -0.02
Tl 0.000 0.000 0.306  -0.02

## Properties
Energy relative to the elements (meV per atom): -130
VASP energy (eV for the cell shown): -203.2
SG: P4/mmm (123)

=====

Below is a PBEsol-optimized structure of BaCr2W, with properties calculated at the SCAN level.

Cell lengths 2.981, 3.534, 7.558 Å; angles 90.00, 98.22, 90.00 degrees
Atoms (fractional coordinates):
Ba 0.558 0.500 0.760
Cr 0.051 0.000 0.108
Cr 0.453 0.500 0.236
W 0.937 0.000 0.396

## Properties
Energy relative to the elements (meV per atom): 966
VASP energy (eV for the cell shown): -142.1
SG: Pm (6)

=====

Below is a PBEsol-optimized structure of BaCr2W, with properties calculated at the SCAN level.

Cell lengths 3.056, 4.239, 7.092 Å; angles 107.39, 102.44, 90.00 degrees
Atoms (fractional coordinates):
Ba 0.301 0.801 0.601
Cr 0.025 0.025 0.050
Cr 0.638 0.138 0.276
W 0.537 0.537 0.073

## Properties
Energy relative to the elements (meV per atom): 1083
VASP energy (eV for the cell shown): -141.7
SG: Imm2 (44)

=====

Below is a PBEsol-optimized structure of BaCr2W, with properties calculated at the SCAN level.

Cell lengths 2.930, 3.981, 6.962 Å; angles 90.00, 90.78, 90.00 degrees
Atoms (fractional coordinates):
Ba 0.000 0.500 0.500
Cr 0.903 0.000 0.863
Cr 0.097 0.000 0.137
W 0.500 0.500 0.000

## Properties
Energy relative to the elements (meV per atom): 905
VASP energy (eV for the cell shown): -142.4
SG: P2/m (10)

=====

Below is a PBEsol-optimized structure of BaCr2W, with properties calculated at the SCAN level.

Cell lengths 3.085, 4.716, 6.371 Å; angles 100.55, 90.00, 109.09 degrees
Atoms (fractional coordinates):
Ba 0.000 0.000 0.500
Cr 0.779 0.558 0.892
Cr 0.221 0.442 0.108
W 0.500 0.000 0.000

## Properties
Energy relative to the elements (meV per atom): 1031
VASP energy (eV for the cell shown): -141.9
SG: C2/m (12)

=====

Below is a PBEsol-optimized structure of BaCr3W, with properties calculated at the SCAN level.

Cell lengths 4.810, 4.810, 4.810 Å; angles 90.00, 90.00, 90.00 degrees
Last column: magnetic moment on the atom in μB.
Atoms (fractional coordinates):
Cr 0.000 0.500 0.000  3.07
Cr 0.000 0.000 0.500  3.07
Cr 0.500 0.000 0.000  3.07
Ba 0.500 0.500 0.500  0.01
W 0.000 0.000 0.000  -1.28

## Properties
Energy relative to the elements (meV per atom): 1000
VASP energy (eV for the cell shown): -159.4
SG: Pm-3m (221)

=====

Below is a PBEsol-optimized structure of Ba2CrW, with properties calculated at the SCAN level.

Cell lengths 5.357, 5.357, 5.357 Å; angles 60.00, 60.00, 60.00 degrees
Last column: magnetic moment on the atom in μB.
Atoms (fractional coordinates):
Ba 0.000 0.000 0.000  -0.15
Ba 0.750 0.750 0.750  0.07
Cr 0.500 0.500 0.500  4.00
W 0.250 0.250 0.250  -2.39

## Properties
Energy relative to the elements (meV per atom): 1262
VASP energy (eV for the cell shown): -162.1
SG: F-43m (216)

=====

Below is a PBEsol-optimized structure of BaY2Cr, with properties calculated at the SCAN level.

Cell lengths 3.753, 5.476, 6.686 Å; angles 114.18, 106.30, 90.00 degrees
Last column: magnetic moment on the atom in μB.
Atoms (fractional coordinates):
Ba 0.538 0.538 0.077  -0.05
Cr 0.263 0.762 0.525  3.81
Y 0.953 0.953 0.905  -0.16
Y 0.747 0.247 0.493  -0.05

## Properties
Energy relative to the elements (meV per atom): 338
VASP energy (eV for the cell shown): -112.3
SG: Imm2 (44)

=====

Below is a PBEsol-optimized structure of BaYCr4, with properties calculated at the SCAN level.

Cell lengths 5.208, 5.208, 5.208 Å; angles 60.00, 60.00, 60.00 degrees
Atoms (fractional coordinates):
Ba 0.000 0.000 0.000
Cr 0.872 0.376 0.376
Cr 0.376 0.376 0.376
Cr 0.376 0.376 0.872
Cr 0.376 0.872 0.376
Y 0.750 0.750 0.750

## Properties
Energy relative to the elements (meV per atom): 1032
VASP energy (eV for the cell shown): -134.7
SG: F-43m (216)

=====

Below is a PBEsol-optimized structure of BaZn2Cr, with properties calculated at the SCAN level.

Cell lengths 4.445, 4.445, 6.296 Å; angles 69.33, 69.33, 60.00 degrees
Last column: magnetic moment on the atom in μB.
Atoms (fractional coordinates):
Ba 0.500 0.500 0.500  -0.01
Cr 0.000 0.000 0.000  3.73
Zn 0.312 0.312 0.065  -0.03
Zn 0.688 0.688 0.935  -0.03

## Properties
Energy relative to the elements (meV per atom): -64
VASP energy (eV for the cell shown): -85.2
SG: R-3m (166)

=====

Below is a PBEsol-optimized structure of BaZn2Cr, with properties calculated at the SCAN level.

Cell lengths 3.415, 3.415, 7.528 Å; angles 90.00, 90.00, 90.00 degrees
Last column: magnetic moment on the atom in μB.
Atoms (fractional coordinates):
Ba 0.000 0.000 0.504  0.08
Cr 0.500 0.500 0.164  3.90
Zn 0.000 0.000 0.012  -0.03
Zn 0.500 0.500 0.820  0.01

## Properties
Energy relative to the elements (meV per atom): 251
VASP energy (eV for the cell shown): -84.0
SG: P4mm (99)

=====

Below is a PBEsol-optimized structure of BaZrCr3, with properties calculated at the SCAN level.

Cell lengths 4.823, 4.823, 4.823 Å; angles 90.00, 90.00, 90.00 degrees
Last column: magnetic moment on the atom in μB.
Atoms (fractional coordinates):
Cr 0.000 0.500 0.000  3.21
Cr 0.000 0.000 0.500  3.21
Cr 0.500 0.000 0.000  3.21
Ba 0.000 0.000 0.000  -0.01
Zr 0.500 0.500 0.500  -0.85

## Properties
Energy relative to the elements (meV per atom): 2111
VASP energy (eV for the cell shown): -114.8
SG: Pm-3m (221)

=====

Below is a PBEsol-optimized structure of BaZrCr3, with properties calculated at the SCAN level.

Cell lengths 4.976, 4.976, 4.976 Å; angles 90.00, 90.00, 90.00 degrees
Last column: magnetic moment on the atom in μB.
Atoms (fractional coordinates):
Cr 0.000 0.500 0.000  3.65
Cr 0.000 0.000 0.500  3.65
Cr 0.500 0.000 0.000  3.65
Ba 0.500 0.500 0.500  0.07
Zr 0.000 0.000 0.000  -0.40

## Properties
Energy relative to the elements (meV per atom): 1039
VASP energy (eV for the cell shown): -120.2
SG: Pm-3m (221)

=====

Below is a PBEsol-optimized structure of CsBaRhF2, with properties calculated at the SCAN level.

Cell lengths 4.903, 5.254, 5.254 Å; angles 90.00, 90.00, 90.00 degrees
Last column: magnetic moment on the atom in μB.
Atoms (fractional coordinates):
Cs 0.500 0.500 0.500  0.00
Rh 0.000 0.000 0.000  0.24
Ba 0.500 0.000 0.000  -0.03
F 0.000 0.000 0.500  0.02
F 0.000 0.500 0.000  0.02

## Properties
VASP energy (eV for the cell shown): -123.1
ΔE_f (raw) (eV/atom): -0.981
SG: P4/mmm (123)

=====

Below is a PBEsol-optimized structure of CsBa2Zn2F9, with properties calculated at the SCAN level.

Cell lengths 5.887, 5.887, 7.775 Å; angles 67.75, 67.75, 60.00 degrees
Atoms (fractional coordinates):
Cs 0.216 0.216 0.353
Ba 0.999 0.999 0.003
Ba 0.790 0.790 0.629
Zn 0.391 0.391 0.826
Zn 0.603 0.603 0.190
F 0.265 0.776 0.694
F 0.265 0.265 0.694
F 0.776 0.265 0.694
F 0.734 0.215 0.316
F 0.734 0.734 0.316
F 0.215 0.734 0.316
F 0.511 0.511 0.990
F 0.988 0.511 0.990
F 0.511 0.988 0.990

## Properties
VASP energy (eV for the cell shown): -221.6
ΔE_f (raw) (eV/atom): -3.273
SG: R3m (160)